# BaAs3F | the Alexandria database | PBE | optimized geometry
# Total magnetization ... 1.47 μB per formula unit
# V ... 215.13 Å³ per cell
# Energy relative to the elements, uncorrected ... 5.213 eV per formula unit
data_BaAs3F
_space_group_name_H-M_alt 'P 1'
_space_group_IT_number 1
_cell_length_a 5.9919
_cell_length_b 5.9919
_cell_length_c 5.9919
_cell_angle_alpha 90.00
_cell_angle_beta 90.00
_cell_angle_gamma 90.00
loop_
_space_group_symop_operation_xyz
'x,y,z'
loop_
_atom_site_label
_atom_site_type_symbol
_atom_site_fract_x
_atom_site_fract_y
_atom_site_fract_z
_atom_site_occupancy
Ba1 Ba 0.0000 0.0000 0.0000 1
As1 As 0.0000 0.0000 0.5000 1
As2 As 0.0000 0.5000 0.0000 1
As3 As 0.5000 0.0000 0.0000 1
F1 F 0.5000 0.5000 0.5000 1